[1]
# PBE-GGA Nd6TeAs2Pb3, optimized geometry
data_Nd6TeAs2Pb3
_chemical_formula_sum 'Nd12 Te2 As4 Pb6'
_cell_length_a 19.9481
_cell_length_b 4.3137
_cell_length_c 9.2449
_cell_angle_alpha 90.00
_cell_angle_beta 108.80
_cell_angle_gamma 90.00
_symmetry_space_group_name_H-M 'C 1 2/m 1'
_symmetry_Int_Tables_number 12
loop_
_symmetry_equiv_pos_as_xyz
'x,y,z'
'-x,-y,-z'
'-x,y,-z'
'x,-y,z'
'x+1/2,y+1/2,z'
'-x+1/2,-y+1/2,-z'
'-x+1/2,y+1/2,-z'
'x+1/2,-y+1/2,z'
loop_
_atom_site_label
_atom_site_type_symbol
_atom_site_fract_x
_atom_site_fract_y
_atom_site_fract_z
_atom_site_occupancy
Nd1 Nd 0.0093 0.0000 0.2526 1
Nd2 Nd 0.1672 0.5000 0.1029 1
Nd3 Nd 0.1737 0.5000 0.5640 1
Te1 Te 0.0000 0.5000 0.0000 1
As1 As 0.1676 0.0000 0.3320 1
Pb1 Pb 0.0000 0.5000 0.5000 1
Pb2 Pb 0.1629 0.0000 0.8279 1
# VASP energy = -5.336 eV/atom
# magnetic moment = 0.00 μB/f.u.
# formation energy without anion corrections = -11.86 eV/f.u.

[2]
# PBE-GGA CeFeRu, optimized geometry
data_CeFeRu
_chemical_formula_sum 'Ce4 Fe4 Ru4'
_cell_length_a 4.7612
_cell_length_b 5.6375
_cell_length_c 7.6050
_cell_angle_alpha 90.00
_cell_angle_beta 90.00
_cell_angle_gamma 90.00
_symmetry_space_group_name_H-M 'I m m a'
_symmetry_Int_Tables_number 74
_symmetry_space_group_name_Hall '-I 2b 2'
loop_
_atom_site_label
_atom_site_type_symbol
_atom_site_fract_x
_atom_site_fract_y
_atom_site_fract_z
_atom_site_occupancy
Ce1 Ce 0.0000 0.2500 0.1228 1
Fe1 Fe 0.2500 0.2500 0.7500 1
Ru1 Ru 0.0000 0.0000 0.5000 1
# VASP energy = -8.128 eV/atom
# magnetic moment = 1.73 μB/f.u.

[3]
# PBE-GGA Tl5In12Ga2, optimized geometry
data_Tl5In12Ga2
_chemical_formula_sum 'Tl10 In24 Ga4'
_cell_length_a 15.7684
_cell_length_b 9.1914
_cell_length_c 7.3231
_cell_angle_alpha 90.00
_cell_angle_beta 90.39
_cell_angle_gamma 90.00
_symmetry_space_group_name_H-M 'C 1 2/m 1'
_symmetry_Int_Tables_number 12
loop_
_symmetry_equiv_pos_as_xyz
'x,y,z'
'-x,-y,-z'
'-x,y,-z'
'x,-y,z'
'x+1/2,y+1/2,z'
'-x+1/2,-y+1/2,-z'
'-x+1/2,y+1/2,-z'
'x+1/2,-y+1/2,z'
loop_
_atom_site_label
_atom_site_type_symbol
_atom_site_fract_x
_atom_site_fract_y
_atom_site_fract_z
_atom_site_occupancy
Tl1 Tl 0.0000 0.0000 0.0000 1
Tl2 Tl 0.1973 0.5000 0.5221 1
Tl3 Tl 0.2416 0.0000 0.9285 1
In1 In 0.0439 0.5000 0.1967 1
In2 In 0.0933 0.0000 0.5860 1
In3 In 0.1198 0.2890 0.8339 1
In4 In 0.1555 0.2019 0.2584 1
Ga1 Ga 0.0000 0.2868 0.5000 1
# VASP energy = -2.624 eV/atom
# magnetic moment = 0.00 μB/f.u.

[4]
# PBE-GGA BeReTc, optimized geometry
data_BeReTc
_chemical_formula_sum 'Be2 Re2 Tc2'
_cell_length_a 4.5076
_cell_length_b 2.9509
_cell_length_c 6.1914
_cell_angle_alpha 90.00
_cell_angle_beta 109.87
_cell_angle_gamma 90.00
_symmetry_space_group_name_H-M 'P 1 21/m 1'
_symmetry_Int_Tables_number 11
loop_
_symmetry_equiv_pos_as_xyz
'x,y,z'
'-x,-y,-z'
'-x,y+1/2,-z'
'x,-y+1/2,z'
loop_
_atom_site_label
_atom_site_type_symbol
_atom_site_fract_x
_atom_site_fract_y
_atom_site_fract_z
_atom_site_occupancy
Be1 Be 0.1041 0.2500 0.2826 1
Re1 Re 0.3115 0.7500 0.0701 1
Tc1 Tc 0.3207 0.7500 0.5880 1
# VASP energy = -8.831 eV/atom
# magnetic moment = 0.00 μB/f.u.
# energy above the most stable polymorph in this dataset = 0.295 eV/atom

[5]
# PBE-GGA Ca3SbP, optimized geometry
data_Ca3SbP
_chemical_formula_sum 'Ca6 Sb2 P2'
_cell_length_a 5.0062
_cell_length_b 5.0062
_cell_length_c 16.5296
_cell_angle_alpha 90.00
_cell_angle_beta 90.00
_cell_angle_gamma 120.00
_symmetry_space_group_name_H-M 'P 63/m m c'
_symmetry_Int_Tables_number 194
_symmetry_space_group_name_Hall '-P 6c 2c'
loop_
_atom_site_label
_atom_site_type_symbol
_atom_site_fract_x
_atom_site_fract_y
_atom_site_fract_z
_atom_site_occupancy
Ca1 Ca 0.0000 0.0000 0.2500 1
Ca2 Ca 0.3333 0.6667 0.0680 1
Sb1 Sb 0.3333 0.6667 0.2500 1
P1 P 0.0000 0.0000 0.0000 1
# VASP energy = -3.920 eV/atom
# magnetic moment = 0.00 μB/f.u.
# energy above the most stable polymorph in this dataset = 0.281 eV/atom
# formation energy without anion corrections = -4.06 eV/f.u.

[6]
# PBE-GGA Sm3YPu3S8, optimized geometry
data_Sm3YPu3S8
_chemical_formula_sum 'Sm9 Y3 Pu9 S24'
_cell_length_a 7.9668
_cell_length_b 7.9668
_cell_length_c 19.4125
_cell_angle_alpha 90.00
_cell_angle_beta 90.00
_cell_angle_gamma 120.00
_symmetry_space_group_name_H-M 'R -3 m'
_symmetry_Int_Tables_number 166
_symmetry_space_group_name_Hall '-R 3 2"'
loop_
_atom_site_label
_atom_site_type_symbol
_atom_site_fract_x
_atom_site_fract_y
_atom_site_fract_z
_atom_site_occupancy
Sm1 Sm 0.0000 0.5000 0.0000 1
Y1 Y 0.0000 0.0000 0.0000 1
Pu1 Pu 0.0000 0.5000 0.5000 1
S1 S 0.0000 0.0000 0.2479 1
S2 S 0.0065 0.5032 0.7497 1
# VASP energy = -8.387 eV/atom
# magnetic moment = 16.86 μB/f.u.
# formation energy without anion corrections = -29.16 eV/f.u.

[7]
# PBE-GGA TiN3O, optimized geometry
data_TiN3O
_chemical_formula_sum 'Ti1 N3 O1'
_cell_length_a 3.9252
_cell_length_b 3.9252
_cell_length_c 3.9252
_cell_angle_alpha 90.00
_cell_angle_beta 90.00
_cell_angle_gamma 90.00
_symmetry_space_group_name_H-M 'P m -3 m'
_symmetry_Int_Tables_number 221
_symmetry_space_group_name_Hall '-P 4 2 3'
loop_
_atom_site_label
_atom_site_type_symbol
_atom_site_fract_x
_atom_site_fract_y
_atom_site_fract_z
_atom_site_occupancy
Ti1 Ti 0.0000 0.0000 0.0000 1
N1 N 0.0000 0.0000 0.5000 1
O1 O 0.5000 0.5000 0.5000 1
# VASP energy = -5.948 eV/atom
# magnetic moment = 3.79 μB/f.u.
# formation energy without anion corrections = 8.09 eV/f.u.

[8]
# PBE-GGA TmGa2S4, optimized geometry
data_TmGa2S4
_chemical_formula_sum 'Tm1 Ga2 S4'
_cell_length_a 5.3816
_cell_length_b 5.3816
_cell_length_c 6.1201
_cell_angle_alpha 90.00
_cell_angle_beta 90.00
_cell_angle_gamma 90.00
_symmetry_space_group_name_H-M 'P -4 2 m'
_symmetry_Int_Tables_number 111
loop_
_symmetry_equiv_pos_as_xyz
'x,y,z'
'y,-x,-z'
'-x,-y,z'
'-y,x,-z'
'x,-y,-z'
'y,x,z'
'-x,y,-z'
'-y,-x,z'
loop_
_atom_site_label
_atom_site_type_symbol
_atom_site_fract_x
_atom_site_fract_y
_atom_site_fract_z
_atom_site_occupancy
Tm1 Tm 0.0000 0.0000 0.0000 1
Ga1 Ga 0.0000 0.5000 0.5000 1
S1 S 0.2638 0.2638 0.2681 1
# VASP energy = -4.766 eV/atom
# magnetic moment = 0.00 μB/f.u.
# formation energy without anion corrections = -6.32 eV/f.u.